GGA-PBE Cr2AgMo, optimized geometry; DFT formation energy = 0.62 eV/atom; total magnetization = 0.00 μB per formula unit; ΔE to the lowest computed polymorph = 0.2693 eV/atom; SG = No. 8; D(E_F) = 4.18 states/eV per cell
1.0
4.738 -0.004 0.014
4.049 2.460 0.014
0.603 0.169 4.913
Mo Cr Ag
1 2 1
direct
0.502 0.502 0.489 Mo
0.255 0.255 0.245 Cr
0.996 0.996 0.006 Cr
0.747 0.747 0.760 Ag


GGA-PBE Be2Fe2Pd, optimized geometry; DFT formation energy = -0.12 eV/atom; total magnetization = 4.43 μB per formula unit; SG = No. 127; D(E_F) = 8.92 states/eV per cell
1.0
-5.934 0.466 -1.405
-0.117 -5.933 -1.477
-0.690 -0.657 2.696
Be Fe Pd
4 4 2
direct
0.127 0.373 0.000 Be
0.627 0.127 0.000 Be
0.373 0.873 0.000 Be
0.873 0.627 0.000 Be
0.837 0.337 0.500 Fe
0.337 0.163 0.500 Fe
0.663 0.837 0.500 Fe
0.163 0.663 0.500 Fe
0.000 0.000 0.000 Pd
0.500 0.500 0.000 Pd


GGA-PBE EuY2Th, optimized geometry; DFT formation energy = 0.13 eV/atom; total magnetization = 7.18 μB per formula unit; ΔE to the lowest computed polymorph = 0.0000 eV/atom; SG = No. 123; D(E_F) = 5.66 states/eV per cell
1.0
-4.608 -1.798 0.692
1.633 -2.579 4.173
-1.145 4.077 2.967
Y Th Eu
2 1 1
direct
0.000 0.500 0.000 Y
0.000 0.000 0.500 Y
0.500 0.500 0.500 Th
0.500 0.000 0.000 Eu


GGA-PBE ScBeInCu, optimized geometry; DFT formation energy = -0.14 eV/atom; total magnetization = 0.00 μB per formula unit; SG = No. 216; D(E_F) = 2.33 states/eV per cell
1.0
4.478 0.000 0.000
2.239 3.878 0.000
2.239 1.293 3.656
Cu In Be Sc
1 1 1 1
direct
0.250 0.250 0.250 Cu
0.000 0.000 0.000 In
0.750 0.750 0.750 Be
0.500 0.500 0.500 Sc


GGA-PBE HfMnSCl2, optimized geometry; total magnetization = 2.28 μB per formula unit; ΔE to the lowest computed polymorph = 0.5035 eV/atom; SG = No. 123; D(E_F) = 4.33 states/eV per cell
1.0
-2.592 -0.691 -3.742
2.682 -3.544 -1.203
-2.852 -3.018 2.534
Cl Hf S Mn
2 1 1 1
direct
0.500 0.000 0.000 Cl
0.000 0.500 0.000 Cl
0.500 0.500 0.500 Hf
0.000 0.000 0.500 S
0.000 0.000 0.000 Mn


GGA-PBE La15Ho4Tl, optimized geometry; DFT formation energy = -0.03 eV/atom; total magnetization = 0.00 μB per formula unit; SG = No. 123; D(E_F) = 27.09 states/eV per cell
1.0
5.166 0.000 0.000
0.000 5.166 0.000
0.000 0.000 26.027
La Ho Tl
15 4 1
direct
0.500 0.000 0.701 La
0.000 0.500 0.500 La
0.000 0.500 0.098 La
0.500 0.500 0.601 La
0.500 0.000 0.902 La
0.500 0.500 0.801 La
0.000 0.500 0.701 La
0.500 0.000 0.098 La
0.500 0.000 0.500 La
0.500 0.500 0.399 La
0.000 0.500 0.299 La
0.500 0.000 0.299 La
0.000 0.500 0.902 La
0.500 0.500 0.000 La
0.500 0.500 0.199 La
0.000 0.000 0.400 Ho
0.000 0.000 0.600 Ho
0.000 0.000 0.198 Ho
0.000 0.000 0.802 Ho
0.000 0.000 0.000 Tl


GGA-PBE TiNb2Ni2, optimized geometry; DFT formation energy = 0.23 eV/atom; total magnetization = 0.00 μB per formula unit; ΔE to the lowest computed polymorph = 0.3459 eV/atom; SG = No. 139; D(E_F) = 5.74 states/eV per cell
1.0
-0.021 2.663 1.858
-1.907 -1.514 2.148
5.211 -1.956 5.700
Ni Ti Nb
2 1 2
direct
0.750 0.250 0.500 Ni
0.250 0.750 0.500 Ni
0.000 0.000 0.000 Ti
0.386 0.386 0.229 Nb
0.614 0.614 0.771 Nb


GGA-PBE Nd2BeZn3Ni12, optimized geometry; DFT formation energy = 0.07 eV/atom; total magnetization = 0.00 μB per formula unit; SG = No. 166; D(E_F) = 11.47 states/eV per cell
1.0
8.648 1.495 1.061
5.571 6.782 1.061
5.571 3.243 6.050
Ni Zn Nd Be
12 3 2 1
direct
0.813 0.424 0.424 Ni
0.067 0.666 0.067 Ni
0.424 0.424 0.813 Ni
0.424 0.813 0.424 Ni
0.933 0.334 0.933 Ni
0.067 0.067 0.666 Ni
0.334 0.933 0.933 Ni
0.576 0.576 0.187 Ni
0.933 0.933 0.334 Ni
0.666 0.067 0.067 Ni
0.187 0.576 0.576 Ni
0.576 0.187 0.576 Ni
0.000 0.500 0.000 Zn
0.000 0.000 0.500 Zn
0.500 0.000 0.000 Zn
0.341 0.341 0.341 Nd
0.659 0.659 0.659 Nd
0.000 0.000 0.000 Be


GGA-PBE NaYTlAg, optimized geometry; DFT formation energy = -0.16 eV/atom; total magnetization = 0.00 μB per formula unit; SG = No. 216; D(E_F) = 2.59 states/eV per cell
1.0
5.188 0.000 0.000
2.594 4.493 0.000
2.594 1.498 4.236
Y Tl Na Ag
1 1 1 1
direct
0.750 0.750 0.750 Y
0.000 0.000 0.000 Tl
0.250 0.250 0.250 Na
0.500 0.500 0.500 Ag


GGA-PBE BaMn2Pt, optimized geometry; DFT formation energy = 0.01 eV/atom; total magnetization = 7.67 μB per formula unit; SG = No. 160; D(E_F) = 4.12 states/eV per cell
1.0
4.494 -0.016 0.012
2.261 3.884 0.012
2.232 1.278 5.942
Mn Pt Ba
2 1 1
direct
0.771 0.771 0.686 Mn
0.057 0.057 0.829 Mn
0.427 0.427 0.718 Pt
0.244 0.244 0.266 Ba


GGA-PBE MnNbVGaCu, optimized geometry; DFT formation energy = 0.15 eV/atom; total magnetization = 0.00 μB per formula unit; ΔE to the lowest computed polymorph = 0.1860 eV/atom; SG = No. 6; D(E_F) = 3.75 states/eV per cell
1.0
-0.283 4.037 -0.226
-0.762 0.113 2.968
5.807 -0.208 1.498
Cu Mn Ga Nb V
1 1 1 1 1
direct
0.775 0.000 0.804 Cu
0.629 0.500 0.090 Mn
0.699 0.500 0.493 Ga
0.154 0.000 0.245 Nb
0.259 0.500 0.823 V


GGA-PBE BiSb2Pd6, optimized geometry; raw total energy = -5.15 eV per atom; total magnetization = 0.00 μB per formula unit; SG = No. 189; D(E_F) = 4.17 states/eV per cell
1.0
-1.393 -2.578 1.471
6.845 -2.335 2.390
-4.143 4.706 4.325
Pd Sb Bi
6 2 1
direct
0.500 0.627 0.000 Pd
0.500 0.000 0.627 Pd
0.500 0.373 0.373 Pd
0.000 0.000 0.306 Pd
0.000 0.306 0.000 Pd
0.000 0.694 0.694 Pd
0.000 0.333 0.667 Sb
0.000 0.667 0.333 Sb
0.500 0.000 0.000 Bi